No. 1
# BaY2Os GGA-PBE relaxed
# - Relative energy among the computed polymorphs: 653 meV/atom
# - Energy of formation: 0.615 eV per atom
# - Calculated total energy: -5.906 eV/atom
data_BaY2Os
_chemical_formula_sum 'Ba4 Y8 Os4'
_space_group_name_H-M_alt 'P 1'
_space_group_IT_number 1
_cell_length_a 8.256
_cell_length_b 8.256
_cell_length_c 11.724
_cell_angle_alpha 90.00
_cell_angle_beta 90.00
_cell_angle_gamma 90.00
loop_
_space_group_symop_operation_xyz
'x,y,z'
loop_
_atom_site_label
_atom_site_fract_x
_atom_site_fract_y
_atom_site_fract_z
Ba1 0.000 0.250 0.375
Ba2 0.000 0.750 0.625
Ba3 0.500 0.250 0.125
Ba4 0.500 0.750 0.875
Y1 0.000 0.000 0.000
Y2 0.000 0.500 0.000
Y3 0.250 0.250 0.750
Y4 0.250 0.750 0.250
Y5 0.500 0.000 0.500
Y6 0.500 0.500 0.500
Y7 0.750 0.250 0.750
Y8 0.750 0.750 0.250
Os1 0.000 0.250 0.875
Os2 0.000 0.750 0.125
Os3 0.500 0.250 0.625
Os4 0.500 0.750 0.375



No. 2
# KTcNi GGA-PBE relaxed
# - Relative energy among the computed polymorphs: 535 meV/atom
# - Energy of formation: 0.960 eV per atom
# - Calculated total energy: -4.788 eV/atom
data_KTcNi
_chemical_formula_sum 'K1 Tc1 Ni1'
_space_group_name_H-M_alt 'P 1'
_space_group_IT_number 1
_cell_length_a 2.830
_cell_length_b 2.830
_cell_length_c 7.736
_cell_angle_alpha 90.00
_cell_angle_beta 90.00
_cell_angle_gamma 120.00
loop_
_space_group_symop_operation_xyz
'x,y,z'
loop_
_atom_site_label
_atom_site_fract_x
_atom_site_fract_y
_atom_site_fract_z
K1 0.000 0.000 0.000
Tc1 0.667 0.333 0.607
Ni1 0.333 0.667 0.363



No. 3
# SrLi5Pb7 GGA-PBE relaxed
# - Energy of formation: -0.262 eV per atom
# - Calculated total energy: -3.124 eV/atom
data_SrLi5Pb7
_chemical_formula_sum 'Sr1 Li5 Pb7'
_space_group_name_H-M_alt 'P 1'
_space_group_IT_number 1
_cell_length_a 7.959
_cell_length_b 7.959
_cell_length_c 7.959
_cell_angle_alpha 134.24
_cell_angle_beta 97.42
_cell_angle_gamma 99.97
loop_
_space_group_symop_operation_xyz
'x,y,z'
loop_
_atom_site_label
_atom_site_fract_x
_atom_site_fract_y
_atom_site_fract_z
Sr1 0.000 0.000 0.000
Li1 0.494 0.506 0.507
Li2 0.494 0.986 0.988
Li3 0.754 0.254 0.500
Li4 0.998 0.506 0.012
Li5 0.998 0.986 0.493
Pb1 0.179 0.484 0.695
Pb2 0.230 0.730 0.500
Pb3 0.348 0.009 0.340
Pb4 0.351 0.351 0.000
Pb5 0.659 0.659 0.000
Pb6 0.669 0.009 0.660
Pb7 0.788 0.484 0.305



No. 4
# LaBeTl2 GGA-PBE relaxed
# - Relative energy among the computed polymorphs: 317 meV/atom
# - Energy of formation: 0.304 eV per atom
# - Calculated total energy: -3.043 eV/atom
data_LaBeTl2
_chemical_formula_sum 'La2 Be2 Tl4'
_space_group_name_H-M_alt 'P 1'
_space_group_IT_number 1
_cell_length_a 6.267
_cell_length_b 11.495
_cell_length_c 3.805
_cell_angle_alpha 90.00
_cell_angle_beta 125.14
_cell_angle_gamma 90.00
loop_
_space_group_symop_operation_xyz
'x,y,z'
loop_
_atom_site_label
_atom_site_fract_x
_atom_site_fract_y
_atom_site_fract_z
La1 0.000 0.000 0.000
La2 0.500 0.500 0.000
Be1 0.000 0.500 0.000
Be2 0.500 0.000 0.000
Tl1 0.250 0.250 0.500
Tl2 0.250 0.750 0.500
Tl3 0.750 0.250 0.500
Tl4 0.750 0.750 0.500



No. 5
# Ca2Hg2Ge GGA-PBE relaxed
# - Relative energy among the computed polymorphs: 109 meV/atom
# - Energy of formation: -0.250 eV per atom
# - Calculated total energy: -2.095 eV/atom
data_Ca2Hg2Ge
_chemical_formula_sum 'Ca4 Hg4 Ge2'
_space_group_name_H-M_alt 'P 1'
_space_group_IT_number 1
_cell_length_a 8.262
_cell_length_b 8.262
_cell_length_c 4.144
_cell_angle_alpha 90.00
_cell_angle_beta 90.00
_cell_angle_gamma 90.00
loop_
_space_group_symop_operation_xyz
'x,y,z'
loop_
_atom_site_label
_atom_site_fract_x
_atom_site_fract_y
_atom_site_fract_z
Ca1 0.165 0.335 0.000
Ca2 0.335 0.835 0.000
Ca3 0.665 0.165 0.000
Ca4 0.835 0.665 0.000
Hg1 0.137 0.637 0.500
Hg2 0.363 0.137 0.500
Hg3 0.637 0.863 0.500
Hg4 0.863 0.363 0.500
Ge1 0.000 0.000 0.000
Ge2 0.500 0.500 0.000



No. 6
# ScBeW GGA-PBE relaxed
# - Relative energy among the computed polymorphs: 86 meV/atom
# - Energy of formation: 0.108 eV per atom
# - Calculated total energy: -7.562 eV/atom
data_ScBeW
_chemical_formula_sum 'Sc2 Be2 W2'
_space_group_name_H-M_alt 'P 1'
_space_group_IT_number 1
_cell_length_a 2.845
_cell_length_b 5.827
_cell_length_c 5.928
_cell_angle_alpha 103.98
_cell_angle_beta 100.06
_cell_angle_gamma 94.02
loop_
_space_group_symop_operation_xyz
'x,y,z'
loop_
_atom_site_label
_atom_site_fract_x
_atom_site_fract_y
_atom_site_fract_z
Sc1 0.178 0.070 0.282
Sc2 0.822 0.930 0.718
Be1 0.497 0.314 0.994
Be2 0.503 0.686 0.006
W1 0.107 0.572 0.321
W2 0.893 0.428 0.679



No. 7
# Tb2NdTmSc4 GGA-PBE relaxed
# - Energy of formation: 0.430 eV per atom
# - Calculated total energy: -5.048 eV/atom
data_Tb2NdTmSc4
_chemical_formula_sum 'Tb4 Nd2 Tm2 Sc8'
_space_group_name_H-M_alt 'P 1'
_space_group_IT_number 1
_cell_length_a 9.097
_cell_length_b 9.097
_cell_length_c 6.525
_cell_angle_alpha 111.01
_cell_angle_beta 111.01
_cell_angle_gamma 88.32
loop_
_space_group_symop_operation_xyz
'x,y,z'
loop_
_atom_site_label
_atom_site_fract_x
_atom_site_fract_y
_atom_site_fract_z
Tb1 0.000 0.000 0.000
Tb2 0.000 0.000 0.500
Tb3 0.000 0.500 0.000
Tb4 0.500 0.000 0.500
Nd1 0.000 0.500 0.500
Nd2 0.500 0.000 0.000
Tm1 0.500 0.500 0.000
Tm2 0.500 0.500 0.500
Sc1 0.252 0.252 0.003
Sc2 0.252 0.252 0.503
Sc3 0.252 0.748 0.001
Sc4 0.252 0.748 0.499
Sc5 0.748 0.252 0.501
Sc6 0.748 0.252 0.999
Sc7 0.748 0.748 0.497
Sc8 0.748 0.748 0.997



No. 8
# NbZn2F GGA-PBE relaxed
# - Relative energy among the computed polymorphs: 0 meV/atom
# - Calculated total energy: -3.885 eV/atom
# - Raw formation energy: -101 kJ/mol of formula units
data_NbZn2F
_chemical_formula_sum 'Nb4 Zn8 F4'
_space_group_name_H-M_alt 'P 1'
_space_group_IT_number 1
_cell_length_a 7.237
_cell_length_b 7.237
_cell_length_c 4.694
_cell_angle_alpha 90.00
_cell_angle_beta 90.00
_cell_angle_gamma 90.00
loop_
_space_group_symop_operation_xyz
'x,y,z'
loop_
_atom_site_label
_atom_site_fract_x
_atom_site_fract_y
_atom_site_fract_z
Nb1 0.000 0.000 0.000
Nb2 0.000 0.500 0.250
Nb3 0.500 0.000 0.750
Nb4 0.500 0.500 0.500
Zn1 0.209 0.250 0.625
Zn2 0.250 0.709 0.875
Zn3 0.250 0.791 0.375
Zn4 0.291 0.250 0.125
Zn5 0.709 0.750 0.125
Zn6 0.750 0.209 0.375
Zn7 0.750 0.291 0.875
Zn8 0.791 0.750 0.625
F1 0.000 0.000 0.500
F2 0.000 0.500 0.750
F3 0.500 0.000 0.250
F4 0.500 0.500 0.000



No. 9
# ScAlCd GGA-PBE relaxed
# - Energy of formation: -0.228 eV per atom
# - Calculated total energy: -3.891 eV/atom
data_ScAlCd
_chemical_formula_sum 'Sc2 Al2 Cd2'
_space_group_name_H-M_alt 'P 1'
_space_group_IT_number 1
_cell_length_a 3.127
_cell_length_b 3.127
_cell_length_c 12.385
_cell_angle_alpha 90.00
_cell_angle_beta 90.00
_cell_angle_gamma 90.00
loop_
_space_group_symop_operation_xyz
'x,y,z'
loop_
_atom_site_label
_atom_site_fract_x
_atom_site_fract_y
_atom_site_fract_z
Sc1 0.000 0.000 0.000
Sc2 0.500 0.500 0.500
Al1 0.000 0.000 0.345
Al2 0.500 0.500 0.845
Cd1 0.000 0.000 0.682
Cd2 0.500 0.500 0.182



No. 10
# PuNbRh2 GGA-PBE relaxed
# - Relative energy among the computed polymorphs: 51 meV/atom
# - Energy of formation: -0.294 eV per atom
# - Calculated total energy: -10.070 eV/atom
data_PuNbRh2
_chemical_formula_sum 'Pu1 Nb1 Rh2'
_space_group_name_H-M_alt 'P 1'
_space_group_IT_number 1
_cell_length_a 4.961
_cell_length_b 4.961
_cell_length_c 2.909
_cell_angle_alpha 90.00
_cell_angle_beta 90.00
_cell_angle_gamma 90.00
loop_
_space_group_symop_operation_xyz
'x,y,z'
loop_
_atom_site_label
_atom_site_fract_x
_atom_site_fract_y
_atom_site_fract_z
Pu1 0.000 0.000 0.000
Nb1 0.500 0.500 0.000
Rh1 0.000 0.500 0.500
Rh2 0.500 0.000 0.500



The records above give, respectively, V values of 199.78, 53.67, 332.62, 112.07, 141.45, 46.62, 233.76, 61.46, 60.56, 71.61 Å³/f.u..
The records above give, respectively, magnetic moment values of 0.00, 0.00, 0.00, 0.00, 0.00, 0.00, 7.15, 6.63, 0.63, 4.73 μB per cell.